{
  "formula": "GeBiPt2",
  "functional": "PBE-GGA",
  "state": "optimized geometry",
  "lattice": [[-6.203, -1.356, 2.835], [2.327, -6.199, 2.126], [-0.831, -2.286, 5.617]],
  "species": ["Ge", "Ge", "Bi", "Bi", "Pt", "Pt", "Pt", "Pt"],
  "fractional_positions": [[0.250, 0.750, 0.500], [0.500, 0.500, 0.000], [0.000, 0.000, 0.000], [0.750, 0.250, 0.500], [0.579, 0.125, 0.250], [0.171, 0.625, 0.250], [0.375, 0.421, 0.750], [0.875, 0.829, 0.750]],
  "delta_e_f_kj_per_mol_atoms": -7,
  "polymorph_energy_mev_per_atom": 285,
  "magmom_total_mub_per_fu": 0.000,
  "spacegroup": "I-42d"
}



{
  "formula": "GeBiPt",
  "functional": "PBE-GGA",
  "state": "optimized geometry",
  "lattice": [[5.352, 0.000, 0.000], [0.000, 3.881, 0.000], [0.000, -1.941, 3.361]],
  "species": ["Bi", "Ge", "Pt"],
  "fractional_positions": [[0.708, 0.667, 0.333], [0.248, 0.333, 0.667], [0.044, 0.000, 0.000]],
  "delta_e_f_kj_per_mol_atoms": -20,
  "polymorph_energy_mev_per_atom": 52,
  "magmom_total_mub_per_fu": 0.000,
  "spacegroup": "P3m1"
}